Entry 1:
# GGA-PBE UGeHPt, relaxed
data_UGeHPt
_chemical_formula_sum 'U1 Ge1 H1 Pt1'
_cell_length_a 4.3524
_cell_length_b 4.3524
_cell_length_c 3.8149
_cell_angle_alpha 90.00
_cell_angle_beta 90.00
_cell_angle_gamma 120.00
_symmetry_space_group_name_H-M 'P 3 m 1'
_symmetry_Int_Tables_number 156
_symmetry_space_group_name_Hall 'P 3 -2"'
loop_
_atom_site_label
_atom_site_type_symbol
_atom_site_fract_x
_atom_site_fract_y
_atom_site_fract_z
_atom_site_occupancy
U1 U 0.0000 0.0000 0.0000 1
Ge1 Ge 0.3333 0.6667 0.5342 1
H1 H 0.6667 0.3333 0.9806 1
Pt1 Pt 0.6667 0.3333 0.4621 1
# Density of states at the Fermi level: 5.95 states/eV/f.u.
# Total magnetic moment: 2.0 Bohr magnetons per cell
# Energy: -6.8186 eV/atom



Entry 2:
# GGA-PBE RbGdSb2, relaxed
data_RbGdSb2
_chemical_formula_sum 'Rb3 Gd3 Sb6'
_cell_length_a 4.8067
_cell_length_b 4.8067
_cell_length_c 23.9184
_cell_angle_alpha 90.00
_cell_angle_beta 90.00
_cell_angle_gamma 120.00
_symmetry_space_group_name_H-M 'R -3 m'
_symmetry_Int_Tables_number 166
_symmetry_space_group_name_Hall '-R 3 2"'
loop_
_atom_site_label
_atom_site_type_symbol
_atom_site_fract_x
_atom_site_fract_y
_atom_site_fract_z
_atom_site_occupancy
Rb1 Rb 0.0000 0.0000 0.0000 1
Gd1 Gd 0.0000 0.0000 0.5000 1
Sb1 Sb 0.0000 0.0000 0.2251 1
# Density of states at the Fermi level: 3.47 states/eV/f.u.
# Total magnetic moment: 20.1 Bohr magnetons per cell
# E_form (uncorrected): -2.0 eV per formula unit
# Energy: -6.3145 eV/atom



Entry 3:
# GGA-PBE Rb2RuIF6, relaxed
data_Rb2RuIF6
_chemical_formula_sum 'Rb4 Ru2 I2 F12'
_cell_length_a 7.0533
_cell_length_b 7.0533
_cell_length_c 10.0091
_cell_angle_alpha 90.00
_cell_angle_beta 90.00
_cell_angle_gamma 90.00
_symmetry_space_group_name_H-M 'I 4/m m m'
_symmetry_Int_Tables_number 139
_symmetry_space_group_name_Hall '-I 4 2'
loop_
_atom_site_label
_atom_site_type_symbol
_atom_site_fract_x
_atom_site_fract_y
_atom_site_fract_z
_atom_site_occupancy
Rb1 Rb 0.0000 0.5000 0.2500 1
Ru1 Ru 0.0000 0.0000 0.0000 1
I1 I 0.0000 0.0000 0.5000 1
F1 F 0.0000 0.0000 0.1929 1
F2 F 0.1936 0.1936 0.0000 1
# Density of states at the Fermi level: 0.79 states/eV/f.u.
# Total magnetic moment: 6.0 Bohr magnetons per cell
# E_form (uncorrected): -19.1 eV per formula unit
# Energy: -4.3122 eV/atom



Entry 4:
# GGA-PBE Ba2W3, relaxed
data_Ba2W3
_chemical_formula_sum 'Ba2 W3'
_cell_length_a 4.1707
_cell_length_b 4.1707
_cell_length_c 11.1516
_cell_angle_alpha 90.00
_cell_angle_beta 90.00
_cell_angle_gamma 120.00
_symmetry_space_group_name_H-M 'P -3 m 1'
_symmetry_Int_Tables_number 164
_symmetry_space_group_name_Hall '-P 3 2"'
loop_
_atom_site_label
_atom_site_type_symbol
_atom_site_fract_x
_atom_site_fract_y
_atom_site_fract_z
_atom_site_occupancy
Ba1 Ba 0.3333 0.6667 0.2887 1
W1 W 0.0000 0.0000 0.5000 1
W2 W 0.3333 0.6667 0.9987 1
# Density of states at the Fermi level: 6.21 states/eV/f.u.
# Total magnetic moment: 2.4 Bohr magnetons per cell
# ΔE_f: 1.98 eV/atom
# Energy: -6.5624 eV/atom



Entry 5:
# GGA-PBE Tb6Pr3NdTm2, relaxed
data_Tb6Pr3NdTm2
_chemical_formula_sum 'Tb12 Pr6 Nd2 Tm4'
_cell_length_a 6.2339
_cell_length_b 10.7936
_cell_length_c 11.9148
_cell_angle_alpha 90.00
_cell_angle_beta 100.01
_cell_angle_gamma 90.00
_symmetry_space_group_name_H-M 'C 1 2/m 1'
_symmetry_Int_Tables_number 12
_symmetry_space_group_name_Hall '-C 2y'
loop_
_atom_site_label
_atom_site_type_symbol
_atom_site_fract_x
_atom_site_fract_y
_atom_site_fract_z
_atom_site_occupancy
Tb1 Tb 0.2480 0.0000 0.2459 1
Tb2 Tb 0.2505 0.1671 0.7541 1
Pr1 Pr 0.0000 0.0000 0.5000 1
Pr2 Pr 0.0000 0.3331 0.5000 1
Nd1 Nd 0.0000 0.5000 0.0000 1
Tm1 Tm 0.0000 0.1668 0.0000 1
# Density of states at the Fermi level: 15.93 states/eV/f.u.
# Total magnetic moment: 0.0 Bohr magnetons per cell
# ΔE_f: 0.02 eV/atom
# Energy: -4.6337 eV/atom



Entry 6:
# GGA-PBE MnMo2PdC, relaxed
data_MnMo2PdC
_chemical_formula_sum 'Mn1 Mo2 Pd1 C1'
_cell_length_a 4.1484
_cell_length_b 4.1484
_cell_length_c 3.9048
_cell_angle_alpha 90.00
_cell_angle_beta 90.00
_cell_angle_gamma 90.00
_symmetry_space_group_name_H-M 'P 4/m m m'
_symmetry_Int_Tables_number 123
_symmetry_space_group_name_Hall '-P 4 2'
loop_
_atom_site_label
_atom_site_type_symbol
_atom_site_fract_x
_atom_site_fract_y
_atom_site_fract_z
_atom_site_occupancy
Mn1 Mn 0.0000 0.0000 0.0000 1
Mo1 Mo 0.0000 0.5000 0.5000 1
Pd1 Pd 0.5000 0.5000 0.0000 1
C1 C 0.0000 0.0000 0.5000 1
# Density of states at the Fermi level: 4.67 states/eV/f.u.
# Total magnetic moment: 2.0 Bohr magnetons per cell
# ΔE_f: 0.08 eV/atom
# Energy: -8.9661 eV/atom



Entry 7:
# GGA-PBE Cd2SnTe2, relaxed
data_Cd2SnTe2
_chemical_formula_sum 'Cd4 Sn2 Te4'
_cell_length_a 5.7426
_cell_length_b 5.7426
_cell_length_c 9.1933
_cell_angle_alpha 90.00
_cell_angle_beta 90.00
_cell_angle_gamma 90.00
_symmetry_space_group_name_H-M 'I 4/m m m'
_symmetry_Int_Tables_number 139
_symmetry_space_group_name_Hall '-I 4 2'
loop_
_atom_site_label
_atom_site_type_symbol
_atom_site_fract_x
_atom_site_fract_y
_atom_site_fract_z
_atom_site_occupancy
Cd1 Cd 0.0000 0.0000 0.1487 1
Sn1 Sn 0.0000 0.0000 0.5000 1
Te1 Te 0.0000 0.5000 0.2500 1
# Density of states at the Fermi level: 2.49 states/eV/f.u.
# Total magnetic moment: 0.0 Bohr magnetons per cell
# E_form (uncorrected): 0.1 eV per formula unit
# Energy: -2.4082 eV/atom



Entry 8:
# GGA-PBE ZrAl, relaxed
data_ZrAl
_chemical_formula_sum 'Zr8 Al8'
_cell_length_a 8.2560
_cell_length_b 8.2560
_cell_length_c 8.2560
_cell_angle_alpha 90.00
_cell_angle_beta 90.00
_cell_angle_gamma 90.00
_symmetry_space_group_name_H-M 'I -4 3 m'
_symmetry_Int_Tables_number 217
_symmetry_space_group_name_Hall 'I -4 2 3'
loop_
_atom_site_label
_atom_site_type_symbol
_atom_site_fract_x
_atom_site_fract_y
_atom_site_fract_z
_atom_site_occupancy
Zr1 Zr 0.2013 0.2013 0.7987 1
Al1 Al 0.1138 0.1138 0.1138 1
# Density of states at the Fermi level: 2.78 states/eV/f.u.
# Total magnetic moment: 7.6 Bohr magnetons per cell
# ΔE_f: 1.21 eV/atom
# Energy: -4.9376 eV/atom



Entry 9:
# GGA-PBE Pm2SnP, relaxed
data_Pm2SnP
_chemical_formula_sum 'Pm8 Sn4 P4'
_cell_length_a 4.3826
_cell_length_b 23.5335
_cell_length_c 4.2616
_cell_angle_alpha 90.00
_cell_angle_beta 90.00
_cell_angle_gamma 90.00
_symmetry_space_group_name_H-M 'C m c m'
_symmetry_Int_Tables_number 63
_symmetry_space_group_name_Hall '-C 2c 2'
loop_
_atom_site_label
_atom_site_type_symbol
_atom_site_fract_x
_atom_site_fract_y
_atom_site_fract_z
_atom_site_occupancy
Pm1 Pm 0.0000 0.0714 0.2500 1
Pm2 Pm 0.0000 0.3093 0.2500 1
Sn1 Sn 0.0000 0.4555 0.2500 1
P1 P 0.0000 0.1897 0.2500 1
# Density of states at the Fermi level: 1.77 states/eV/f.u.
# Total magnetic moment: 0.0 Bohr magnetons per cell
# ΔE_f: -1.14 eV/atom
# Energy: -5.8711 eV/atom



Entry 10:
# GGA-PBE RbPtS2Br, relaxed
data_RbPtS2Br
_chemical_formula_sum 'Rb1 Pt1 S2 Br1'
_cell_length_a 6.1474
_cell_length_b 6.1474
_cell_length_c 5.4711
_cell_angle_alpha 90.00
_cell_angle_beta 90.00
_cell_angle_gamma 90.00
_symmetry_space_group_name_H-M 'P 4/m m m'
_symmetry_Int_Tables_number 123
_symmetry_space_group_name_Hall '-P 4 2'
loop_
_atom_site_label
_atom_site_type_symbol
_atom_site_fract_x
_atom_site_fract_y
_atom_site_fract_z
_atom_site_occupancy
Rb1 Rb 0.0000 0.0000 0.0000 1
Pt1 Pt 0.0000 0.0000 0.5000 1
S1 S 0.0000 0.5000 0.0000 1
Br1 Br 0.5000 0.5000 0.5000 1
# Density of states at the Fermi level: 7.13 states/eV/f.u.
# Total magnetic moment: 4.0 Bohr magnetons per cell
# E_form (uncorrected): 8.0 eV per formula unit
# Energy: -1.7865 eV/atom



Entry 11:
# GGA-PBE CaZnAu2, relaxed
data_CaZnAu2
_chemical_formula_sum 'Ca2 Zn2 Au4'
_cell_length_a 4.3242
_cell_length_b 4.3242
_cell_length_c 8.5022
_cell_angle_alpha 90.00
_cell_angle_beta 90.00
_cell_angle_gamma 90.00
_symmetry_space_group_name_H-M 'I -4 m 2'
_symmetry_Int_Tables_number 119
_symmetry_space_group_name_Hall 'I -4 -2'
loop_
_atom_site_label
_atom_site_type_symbol
_atom_site_fract_x
_atom_site_fract_y
_atom_site_fract_z
_atom_site_occupancy
Ca1 Ca 0.0000 0.0000 0.0000 1
Zn1 Zn 0.0000 0.5000 0.7500 1
Au1 Au 0.0000 0.0000 0.5000 1
Au2 Au 0.0000 0.5000 0.2500 1
# Density of states at the Fermi level: 1.29 states/eV/f.u.
# Total magnetic moment: 0.0 Bohr magnetons per cell
# ΔE_f: -0.46 eV/atom
# Energy: -2.9167 eV/atom



Entry 12:
# GGA-PBE Pr2In3Rh4, relaxed
data_Pr2In3Rh4
_chemical_formula_sum 'Pr8 In12 Rh16'
_cell_length_a 5.9889
_cell_length_b 17.0732
_cell_length_c 7.3041
_cell_angle_alpha 90.00
_cell_angle_beta 90.00
_cell_angle_gamma 90.00
_symmetry_space_group_name_H-M 'C m c e'
_symmetry_Int_Tables_number 64
_symmetry_space_group_name_Hall '-C 2ac 2'
loop_
_atom_site_label
_atom_site_type_symbol
_atom_site_fract_x
_atom_site_fract_y
_atom_site_fract_z
_atom_site_occupancy
Pr1 Pr 0.0000 0.1022 0.0826 1
In1 In 0.0000 0.0000 0.5000 1
In2 In 0.2500 0.2349 0.7500 1
Rh1 Rh 0.0000 0.1650 0.4732 1
Rh2 Rh 0.2500 0.0746 0.7500 1
# Density of states at the Fermi level: 4.35 states/eV/f.u.
# Total magnetic moment: 0.0 Bohr magnetons per cell
# ΔE_f: -0.60 eV/atom
# Energy: -5.8430 eV/atom